(1)
DFT (PBE) results for a relaxed Zn2HgSe2 crystal.

Results
DOS(E_F), states/eV/f.u.: 1.6
SG: No. 127
Uncorrected formation energy, meV per atom: 33

The structure in POSCAR format:
```
Zn2HgSe2
1.0
-2.223 6.284 -3.940
-7.087 -3.013 -0.808
-0.995 1.534 3.008
Zn Se Hg
4 4 2
Direct
0.641 0.859 0.500
0.859 0.359 0.500
0.359 0.141 0.500
0.141 0.641 0.500
0.839 0.661 0.000
0.339 0.839 0.000
0.661 0.161 0.000
0.161 0.339 0.000
0.500 0.500 0.000
0.000 0.000 0.000
```

***

(2)
DFT (PBE) results for a relaxed ZnHg3Se4 crystal.

Results
DOS(E_F), states/eV/f.u.: 1.0
SG: No. 121
Uncorrected formation energy, meV per atom: -329

The structure in POSCAR format:
```
ZnHg3Se4
1.0
-5.242 -1.088 -2.987
0.872 -6.031 0.666
-0.864 3.704 6.459
Se Zn Hg
4 1 3
Direct
0.353 0.353 0.236
0.647 0.116 0.764
0.116 0.647 0.764
0.884 0.884 0.236
0.000 0.000 0.000
0.500 0.500 0.000
0.750 0.250 0.500
0.250 0.750 0.500
```

***

- uncorrected formation energy of number 1 (Zn2HgSe2)?
  33 meV per atom

***

- DOS(E_F) of number 1 (Zn2HgSe2)?
  1.6 states/eV/f.u.

***

- Which of these has the lowest DOS(E_F)?
  ZnHg3Se4

***

- The highest DOS(E_F) belongs to which entry?
  Zn2HgSe2